1.
An optimized crystal structure of AcErSe2. Source: Alexandria, functional PBE.

## Properties
The formation energy (no corrections) is -1.779 eV/atom. For the total energy, the calculation gives -5.6890 eV/atom. The crystal system is trigonal.

```
AcErSe2
1.0
-3.050 2.461 1.287
-2.006 -0.860 3.500
3.183 4.588 5.383
Ac Se Er
1 2 1
Cartesian
-0.937 3.094 5.085
-1.233 4.784 7.761
-0.640 1.404 2.409
0.000 0.000 0.000
```

2.
An optimized crystal structure of AcErSe3. Source: Alexandria, functional PBE.

## Properties
The formation energy (no corrections) is -1.917 eV/atom. For the total energy, the calculation gives -5.7419 eV/atom. The crystal system is monoclinic.

```
AcErSe3
1.0
4.208 0.000 0.000
-2.104 7.812 0.385
0.000 -0.266 9.156
Ac Er Se
2 2 6
Cartesian
2.104 1.658 3.820
0.000 5.888 5.722
2.104 5.005 1.504
0.000 2.541 8.037
2.104 7.090 3.402
0.000 0.455 6.139
0.000 5.328 8.917
2.104 2.218 0.624
0.000 3.909 3.236
2.104 3.637 6.305
```

3.
An optimized crystal structure of AcErSe2. Source: Alexandria, functional PBE.

## Properties
The formation energy (no corrections) is -1.746 eV/atom. For the total energy, the calculation gives -5.6566 eV/atom. The crystal system is trigonal.

```
AcErSe2
1.0
4.117 0.000 0.000
2.058 3.565 0.000
2.058 1.188 7.542
Ac Er Se
1 1 2
Cartesian
4.117 2.377 3.861
6.175 3.565 7.443
2.058 1.188 5.922
2.058 1.188 1.627
```

4.
An optimized crystal structure of AcErSe. Source: Alexandria, functional PBE.

## Properties
The formation energy (no corrections) is -1.028 eV/atom. For the total energy, the calculation gives -5.0804 eV/atom. The crystal system is trigonal.

```
AcErSe
1.0
-1.219 -2.790 -2.627
3.307 -0.621 2.202
-3.900 -3.011 5.008
Ac Se Er
1 1 1
Cartesian
-3.711 -2.865 4.765
-0.714 -3.283 3.819
-1.288 -3.284 1.008
```

5.
An optimized crystal structure of Ac6ErSe8. Source: Alexandria, functional PBE.

## Properties
The formation energy (no corrections) is -1.891 eV/atom. For the total energy, the calculation gives -5.6974 eV/atom. The crystal system is cubic.

```
Ac6ErSe8
1.0
-4.720 1.264 7.391
3.661 4.104 6.946
-2.646 8.158 2.225
Ac Er Se
6 1 8
Cartesian
0.507 6.131 4.586
-2.360 0.632 3.696
-0.529 2.684 7.169
-1.323 4.079 1.113
1.831 2.052 3.473
-3.683 4.711 4.808
0.000 0.000 0.000
-2.778 10.145 12.422
-0.926 3.382 4.141
-3.381 3.831 7.807
-0.324 9.695 8.756
-2.276 7.507 5.053
-1.429 6.020 11.511
-4.792 8.181 8.993
1.087 5.346 7.570
```

6.
An optimized crystal structure of AcErSe. Source: Alexandria, functional PBE.

## Properties
The formation energy (no corrections) is -1.041 eV/atom. For the total energy, the calculation gives -5.0928 eV/atom. The crystal system is monoclinic.

```
AcErSe
1.0
6.373 0.259 0.721
-0.161 7.714 -1.347
-0.736 -4.312 8.051
Er Se Ac
4 4 4
Cartesian
1.702 3.230 5.491
4.978 2.199 5.474
3.774 0.431 1.935
0.497 1.462 1.952
0.263 4.064 3.214
3.139 1.232 7.380
5.213 -0.403 4.212
2.337 2.429 0.046
0.690 5.490 0.085
3.707 4.128 2.487
4.785 -1.829 7.340
1.769 -0.467 4.939
```